--- one ---
A plane-wave DFT calculation with PBE-GGA was carried out for crystalline CoNi2Au at its relaxed geometry.

Unit cell a=4.182 b=4.182 c=4.182 alpha=60.00 beta=60.00 gamma=60.00
Element x y z (fractional)
Co  0.000  0.000  0.000
Ni  0.250  0.250  0.250
Ni  0.500  0.500  0.500
Au  0.750  0.750  0.750

--- two ---
A plane-wave DFT calculation with PBE-GGA was carried out for crystalline CoNi2Au at its relaxed geometry.

Unit cell a=4.454 b=4.454 c=4.625 alpha=99.72 beta=99.72 gamma=34.76
Element x y z (fractional)
Co  0.000  0.000  0.000
Ni  0.256  0.256  0.777
Ni  0.744  0.744  0.223
Au  0.500  0.500  0.500

--- three ---
A plane-wave DFT calculation with PBE-GGA was carried out for crystalline CoNi2Au at its relaxed geometry.

Unit cell a=2.694 b=2.694 c=7.079 alpha=90.00 beta=90.00 gamma=90.00
Element x y z (fractional)
Co  0.000  0.000  0.000
Ni  0.500  0.500  0.219
Ni  0.500  0.500  0.781
Au  0.000  0.000  0.500

Energies relative to the most stable structure are one 137; two 50; three 0, reported in meV/atom.

--- one ---
A plane-wave DFT calculation with PBE-GGA was carried out for crystalline CoNiAu2 at its relaxed geometry.

Unit cell a=4.158 b=4.158 c=3.380 alpha=90.00 beta=90.00 gamma=90.00
Element x y z (fractional)
Co  0.000  0.000  0.000
Ni  0.500  0.500  0.000
Au  0.000  0.500  0.500
Au  0.500  0.000  0.500

--- two ---
A plane-wave DFT calculation with PBE-GGA was carried out for crystalline CoNiAu2 at its relaxed geometry.

Unit cell a=4.612 b=4.612 c=2.824 alpha=90.00 beta=90.00 gamma=103.17
Element x y z (fractional)
Co  0.000  0.000  0.000
Ni  0.500  0.500  0.000
Au  0.000  0.500  0.500
Au  0.500  0.000  0.500

Energies relative to the most stable structure are one 11; two 0, reported in meV/atom.

--- one ---
A plane-wave DFT calculation with PBE-GGA was carried out for crystalline CoNiAu2 at its relaxed geometry.

Unit cell a=4.356 b=4.356 c=4.356 alpha=60.00 beta=60.00 gamma=60.00
Element x y z (fractional)
Co  0.000  0.000  0.000
Ni  0.500  0.500  0.500
Au  0.250  0.250  0.250
Au  0.750  0.750  0.750

--- two ---
A plane-wave DFT calculation with PBE-GGA was carried out for crystalline CoNiAu2 at its relaxed geometry.

Unit cell a=2.841 b=3.581 c=5.745 alpha=90.00 beta=90.00 gamma=90.00
Element x y z (fractional)
Co  0.000  0.000  0.000
Ni  0.000  0.000  0.500
Au  0.500  0.500  0.251
Au  0.500  0.500  0.749

--- three ---
A plane-wave DFT calculation with PBE-GGA was carried out for crystalline CoNiAu2 at its relaxed geometry.

Unit cell a=4.627 b=4.627 c=4.915 alpha=99.49 beta=99.49 gamma=34.92
Element x y z (fractional)
Co  0.000  0.000  0.000
Ni  0.500  0.500  0.500
Au  0.250  0.250  0.750
Au  0.750  0.750  0.250

--- four ---
A plane-wave DFT calculation with PBE-GGA was carried out for crystalline CoNiAu2 at its relaxed geometry.

Unit cell a=4.393 b=4.393 c=4.393 alpha=60.00 beta=60.00 gamma=60.00
Element x y z (fractional)
Co  0.000  0.000  0.000
Ni  0.750  0.750  0.750
Au  0.250  0.250  0.250
Au  0.500  0.500  0.500

Energies relative to the most stable structure are one 23; two 0; three 66; four 110, reported in meV/atom.

--- one ---
A plane-wave DFT calculation with PBE-GGA was carried out for crystalline CoOs2Au at its relaxed geometry.

Unit cell a=2.690 b=3.690 c=5.852 alpha=90.00 beta=90.00 gamma=90.00
Element x y z (fractional)
Co  0.000  0.000  0.000
Os  0.500  0.500  0.210
Os  0.500  0.500  0.790
Au  0.000  0.000  0.500

--- two ---
A plane-wave DFT calculation with PBE-GGA was carried out for crystalline CoOs2Au at its relaxed geometry.

Unit cell a=2.759 b=2.759 c=7.585 alpha=90.00 beta=90.00 gamma=90.00
Element x y z (fractional)
Co  0.000  0.000  0.000
Os  0.000  0.000  0.463
Os  0.500  0.500  0.229
Au  0.500  0.500  0.748

Energies relative to the most stable structure are one 214; two 0, reported in meV/atom.

--- one ---
A plane-wave DFT calculation with PBE-GGA was carried out for crystalline CoOs2Au at its relaxed geometry.

Unit cell a=4.803 b=4.803 c=4.803 alpha=133.62 beta=133.62 gamma=67.68
Element x y z (fractional)
Co  0.000  0.000  0.000
Os  0.250  0.750  0.500
Os  0.750  0.250  0.500
Au  0.500  0.500  0.000

--- two ---
A plane-wave DFT calculation with PBE-GGA was carried out for crystalline CoOs2Au at its relaxed geometry.

Unit cell a=4.710 b=4.710 c=4.710 alpha=131.92 beta=131.92 gamma=70.35
Element x y z (fractional)
Co  0.000  0.000  0.000
Os  0.250  0.750  0.500
Os  0.500  0.500  0.000
Au  0.750  0.250  0.500

--- three ---
A plane-wave DFT calculation with PBE-GGA was carried out for crystalline CoOs2Au at its relaxed geometry.

Unit cell a=4.687 b=4.687 c=4.777 alpha=99.38 beta=99.38 gamma=34.05
Element x y z (fractional)
Co  0.000  0.000  0.000
Os  0.257  0.257  0.748
Os  0.513  0.513  0.552
Au  0.754  0.754  0.245

--- four ---
A plane-wave DFT calculation with PBE-GGA was carried out for crystalline CoOs2Au at its relaxed geometry.

Unit cell a=2.688 b=2.688 c=9.383 alpha=90.00 beta=90.00 gamma=118.78
Element x y z (fractional)
Co  0.000  0.000  0.000
Os  0.500  0.500  0.225
Os  0.500  0.500  0.775
Au  0.000  0.000  0.500

Energies relative to the most stable structure are one 156; two 58; three 0; four 168, reported in meV/atom.

--- one ---
A plane-wave DFT calculation with PBE-GGA was carried out for crystalline Co2OsAu at its relaxed geometry.

Unit cell a=2.656 b=2.656 c=9.068 alpha=90.00 beta=90.00 gamma=117.51
Element x y z (fractional)
Co  0.000  0.000  0.000
Co  0.500  0.500  0.214
Os  0.000  0.000  0.449
Au  0.500  0.500  0.740

--- two ---
A plane-wave DFT calculation with PBE-GGA was carried out for crystalline Co2OsAu at its relaxed geometry.

Unit cell a=2.672 b=3.723 c=5.486 alpha=90.00 beta=90.00 gamma=90.00
Element x y z (fractional)
Co  0.000  0.000  0.000
Co  0.500  0.500  0.241
Os  0.000  0.000  0.435
Au  0.500  0.500  0.744

Energies relative to the most stable structure are one 90; two 0, reported in meV/atom.